# Tl2FeRhO6, relaxed, DFT GGA+U
# E: -55.894 eV/f.u.
# M_tot: 0.4983 μB/atom
data_Tl2FeRhO6
_cell_length_a 5.5518
_cell_length_b 5.5518
_cell_length_c 13.7584
_cell_angle_alpha 90.00
_cell_angle_beta 90.00
_cell_angle_gamma 120.00
_space_group_name_H-M_alt 'R 3'
_space_group_IT_number 146
_space_group_name_Hall 'R 3'
loop_
_atom_site_label
_atom_site_type_symbol
_atom_site_fract_x
_atom_site_fract_y
_atom_site_fract_z
_atom_site_occupancy
Tl1 Tl 0.0000 0.0000 0.0000 1
Tl2 Tl 0.0000 0.0000 0.4933 1
Fe1 Fe 0.0000 0.0000 0.2306 1
Rh1 Rh 0.0000 0.0000 0.7254 1
O1 O 0.0671 0.3442 0.8023 1
O2 O 0.0677 0.7218 0.3026 1